DFT (GGA-PBEsol) results for Re3BCl after structural relaxation.

## Properties
* calculated total energy: -7.19 eV/atom
* density of states at the Fermi level: 5.82 states/eV per cell
* SG: Pm-3m

Cell: 4.263 4.263 4.263 Å, 90.00 90.00 90.00°
Fractional positions:
Re (0.000, 0.000, 0.500)
Re (0.500, 0.000, 0.000)
Re (0.000, 0.500, 0.000)
Cl (0.000, 0.000, 0.000)
B (0.500, 0.500, 0.500)

---

DFT (GGA-PBEsol) results for BRu3Cl after structural relaxation.

## Properties
* calculated total energy: -7.01 eV/atom
* density of states at the Fermi level: 6.77 states/eV per cell
* SG: Pm-3m

Cell: 4.087 4.087 4.087 Å, 90.00 90.00 90.00°
Last column: magnetic moment on the atom in μB.
Fractional positions:
Ru (0.000, 0.000, 0.500)  0.62
Ru (0.500, 0.000, 0.000)  0.62
Ru (0.000, 0.500, 0.000)  0.62
B (0.000, 0.000, 0.000)  -0.03
Cl (0.500, 0.500, 0.500)  0.15

---

DFT (GGA-PBEsol) results for BRuCl2 after structural relaxation.

## Properties
* calculated total energy: -4.03 eV/atom
* density of states at the Fermi level: 8.23 states/eV per cell
* SG: I-42d

Cell: 5.182 5.720 5.182 Å, 63.07 90.00 116.93°
Fractional positions:
Cl (0.575, 0.750, 0.375)
Cl (0.175, 0.750, 0.875)
Cl (0.375, 0.250, 0.175)
Cl (0.875, 0.250, 0.575)
B (0.250, 0.500, 0.250)
B (0.500, 0.000, 0.500)
Ru (0.000, 0.000, 0.000)
Ru (0.750, 0.500, 0.750)

---

DFT (GGA-PBEsol) results for BRuSCl2 after structural relaxation.

## Properties
* calculated total energy: -4.16 eV/atom
* density of states at the Fermi level: 4.89 states/eV per cell
* SG: P4/mmm

Cell: 4.097 4.097 4.433 Å, 90.00 90.00 90.00°
Last column: magnetic moment on the atom in μB.
Fractional positions:
Cl (0.000, 0.500, 0.000)  0.12
Cl (0.500, 0.000, 0.000)  0.12
B (0.000, 0.000, 0.000)  -0.01
S (0.000, 0.000, 0.500)  0.07
Ru (0.500, 0.500, 0.500)  2.42

---

DFT (GGA-PBEsol) results for TlBRuCl2 after structural relaxation.

## Properties
* calculated total energy: -3.22 eV/atom
* density of states at the Fermi level: 2.70 states/eV per cell
* SG: P4/mmm

Cell: 4.187 5.489 5.489 Å, 90.00 90.00 90.00°
Last column: magnetic moment on the atom in μB.
Fractional positions:
Cl (0.000, 0.500, 0.000)  0.03
Cl (0.000, 0.000, 0.500)  0.03
Ru (0.500, 0.500, 0.500)  2.68
B (0.500, 0.000, 0.000)  -0.06
Tl (0.000, 0.000, 0.000)  0.00

---

DFT (GGA-PBEsol) results for TaBS2Cl after structural relaxation.

## Properties
* calculated total energy: -5.53 eV/atom
* density of states at the Fermi level: 3.20 states/eV per cell
* SG: P4/mmm

Cell: 3.978 4.169 4.169 Å, 90.00 90.00 90.00°
Fractional positions:
S (0.000, 0.000, 0.500)
S (0.000, 0.500, 0.000)
Cl (0.500, 0.000, 0.000)
Ta (0.500, 0.500, 0.500)
B (0.000, 0.000, 0.000)

---

DFT (GGA-PBEsol) results for TcBSCl2 after structural relaxation.

## Properties
* calculated total energy: -4.50 eV/atom
* density of states at the Fermi level: 3.84 states/eV per cell
* SG: P4/mmm

Cell: 4.399 4.800 4.800 Å, 90.00 90.00 90.00°
Last column: magnetic moment on the atom in μB.
Fractional positions:
S (0.500, 0.000, 0.000)  -0.01
Cl (0.000, 0.500, 0.000)  0.02
Cl (0.000, 0.000, 0.500)  0.02
B (0.500, 0.500, 0.500)  0.01
Tc (0.000, 0.000, 0.000)  0.42

---

DFT (GGA-PBEsol) results for BTeSCl2 after structural relaxation.

## Properties
* calculated total energy: -3.40 eV/atom
* density of states at the Fermi level: 3.04 states/eV per cell
* SG: P4/mmm

Cell: 4.207 4.207 4.740 Å, 90.00 90.00 90.00°
Fractional positions:
Cl (0.500, 0.000, 0.000)
Cl (0.000, 0.500, 0.000)
S (0.000, 0.000, 0.500)
Te (0.500, 0.500, 0.500)
B (0.000, 0.000, 0.000)

---

DFT (GGA-PBEsol) results for TlBS2Cl after structural relaxation.

## Properties
* calculated total energy: -3.88 eV/atom
* density of states at the Fermi level: 2.55 states/eV per cell
* distance to the lowest polymorph of the same formula: 0.0 meV per atom
* SG: P4/mmm

Cell: 4.208 4.208 4.815 Å, 90.00 90.00 90.00°
Fractional positions:
B (0.000, 0.000, 0.000)
Cl (0.000, 0.000, 0.500)
Tl (0.500, 0.500, 0.500)
S (0.500, 0.000, 0.000)
S (0.000, 0.500, 0.000)

---

DFT (GGA-PBEsol) results for TlBS2Cl after structural relaxation.

## Properties
* calculated total energy: -2.79 eV/atom
* density of states at the Fermi level: 4.22 states/eV per cell
* distance to the lowest polymorph of the same formula: 1095.8 meV per atom
* SG: P4/mmm

Cell: 5.009 5.009 5.252 Å, 90.00 90.00 90.00°
Fractional positions:
S (0.000, 0.500, 0.000)
S (0.500, 0.000, 0.000)
Cl (0.000, 0.000, 0.500)
B (0.500, 0.500, 0.500)
Tl (0.000, 0.000, 0.000)

---

DFT (GGA-PBEsol) results for ZnBS2Cl after structural relaxation.

## Properties
* calculated total energy: -3.44 eV/atom
* density of states at the Fermi level: 1.55 states/eV per cell
* SG: P4/mmm

Cell: 4.218 4.218 4.191 Å, 90.00 90.00 90.00°
Fractional positions:
S (0.500, 0.000, 0.000)
S (0.000, 0.500, 0.000)
B (0.000, 0.000, 0.000)
Cl (0.000, 0.000, 0.500)
Zn (0.500, 0.500, 0.500)

---

DFT (GGA-PBEsol) results for B2SbCl after structural relaxation.

## Properties
* calculated total energy: -3.57 eV/atom
* density of states at the Fermi level: 1.43 states/eV per cell
* SG: Fm-3m

Cell: 4.361 4.361 4.361 Å, 60.00 60.00 60.00°
Fractional positions:
B (0.250, 0.250, 0.250)
B (0.750, 0.750, 0.750)
Sb (0.500, 0.500, 0.500)
Cl (0.000, 0.000, 0.000)

---

DFT (GGA-PBEsol) results for BSbCl3 after structural relaxation.

## Properties
* calculated total energy: -3.17 eV/atom
* density of states at the Fermi level: 2.69 states/eV per cell
* SG: Pm-3m

Cell: 4.456 4.456 4.456 Å, 90.00 90.00 90.00°
Fractional positions:
Cl (0.000, 0.000, 0.500)
Cl (0.000, 0.500, 0.000)
Cl (0.500, 0.000, 0.000)
Sb (0.500, 0.500, 0.500)
B (0.000, 0.000, 0.000)

---

DFT (GGA-PBEsol) results for BSbTe2Cl after structural relaxation.

## Properties
* calculated total energy: -2.54 eV/atom
* density of states at the Fermi level: 5.85 states/eV per cell
* SG: P4/mmm

Cell: 5.151 5.292 5.292 Å, 90.00 90.00 90.00°
Fractional positions:
Sb (0.500, 0.000, 0.000)
Te (0.000, 0.500, 0.000)
Te (0.000, 0.000, 0.500)
Cl (0.000, 0.000, 0.000)
B (0.500, 0.500, 0.500)

---

DFT (GGA-PBEsol) results for ScB3Cl after structural relaxation.

## Properties
* calculated total energy: -3.70 eV/atom
* density of states at the Fermi level: 5.43 states/eV per cell
* SG: Pm-3m

Cell: 4.655 4.655 4.655 Å, 90.00 90.00 90.00°
Last column: magnetic moment on the atom in μB.
Fractional positions:
B (0.000, 0.000, 0.500)  0.22
B (0.500, 0.000, 0.000)  0.22
B (0.000, 0.500, 0.000)  0.22
Sc (0.000, 0.000, 0.000)  0.44
Cl (0.500, 0.500, 0.500)  0.07